This record from Alexandria describes a relaxed structure of CaPr2Pt. The functional is PBE.

Computed properties:
M_tot in μB per atom: 0.000
Energy relative to the elements in eV/atom: -0.56
E above lowest polymorph in kJ per mole of atoms: 0.0
E_tot in eV per cell: -79.370
Space-group type: No. 63

```
CaPr2Pt
1.0
4.100 0.000 0.000
0.000 12.670 0.000
0.000 0.000 9.507
Ca Pr Pt
4 8 4
Cartesian
0.000 0.926 2.377
0.000 11.744 7.130
2.050 5.409 7.130
2.050 7.261 2.377
0.000 4.542 0.574
0.000 4.542 4.179
0.000 8.128 5.328
0.000 8.128 8.933
2.050 1.793 5.328
2.050 1.793 8.933
2.050 10.878 0.574
2.050 10.878 4.179
0.000 3.009 7.130
0.000 9.661 2.377
2.050 3.326 2.377
2.050 9.344 7.130
```